[1]
The following is a GGA-PBE calculation of a geometry-optimized Y4HgBr structure, from the Alexandria database.

Cell: 6.4451 6.4451 6.4451 Å, 60.00 60.00 60.00°
Fractional coordinates of all 6 atoms:
Y 0.8796 0.3735 0.3735
Y 0.3735 0.3735 0.3735
Y 0.3735 0.8796 0.3735
Y 0.3735 0.3735 0.8796
Br 0.7500 0.7500 0.7500
Hg 0.0000 0.0000 0.0000

Summary:
Volume = 31.55 A^3/atom
Total DFT energy (no corrections) = -26.2 eV per cell
Formation energy (no corrections) = 0.26 eV/atom

[2]
The following is a GGA-PBE calculation of a geometry-optimized SrLa2Os structure, from the Alexandria database.

Cell: 4.2566 4.2566 10.1936 Å, 78.06 78.06 60.04°
Fractional coordinates of all 4 atoms:
Os 0.7500 0.7500 0.7500
La 0.4656 0.4656 0.6026
La 0.0344 0.0344 0.8974
Sr 0.2500 0.2500 0.2500

Summary:
Volume = 38.84 A^3/atom
Polymorph energy (0 for the lowest one) = 3 meV per atom
Total DFT energy (no corrections) = -23.0 eV per cell
E_form = -58 meV/atom

[3]
The following is a GGA-PBE calculation of a geometry-optimized BeRe2Tc structure, from the Alexandria database.

Cell: 2.6637 2.6637 8.3894 Å, 90.00 90.00 113.04°
Fractional coordinates of all 4 atoms:
Tc 0.0000 0.0000 0.5208
Re 0.5000 0.5000 0.2517
Re 0.0000 0.0000 0.9793
Be 0.5000 0.5000 0.7481

Summary:
Volume = 13.69 A^3/atom
Total DFT energy (no corrections) = -38.2 eV per cell
E_form = 210 meV/atom

[4]
The following is a GGA-PBE calculation of a geometry-optimized Eu2DySc structure, from the Alexandria database.

Cell: 5.1978 5.0451 5.0451 Å, 90.00 90.00 90.00°
Fractional coordinates of all 4 atoms:
Dy 0.5000 0.5000 0.5000
Eu 0.0000 0.0000 0.5000
Eu 0.0000 0.5000 0.0000
Sc 0.5000 0.0000 0.0000

Summary:
Volume = 33.08 A^3/atom
Polymorph energy (0 for the lowest one) = 5 meV per atom
Total DFT energy (no corrections) = -30.8 eV per cell
E_form = 176 meV/atom

[5]
The following is a GGA-PBE calculation of a geometry-optimized HgAsP2 structure, from the Alexandria database.

Cell: 4.9723 4.9723 7.1579 Å, 89.13 89.13 36.35°
Fractional coordinates of all 4 atoms:
Hg 0.2500 0.2500 0.2500
P 0.4885 0.4885 0.6399
P 0.0115 0.0115 0.8601
As 0.7500 0.7500 0.7500

Summary:
Volume = 26.22 A^3/atom
Polymorph energy (0 for the lowest one) = 176 meV per atom
Total DFT energy (no corrections) = -14.4 eV per cell
E_form = 354 meV/atom

[6]
The following is a GGA-PBE calculation of a geometry-optimized InHgRu2 structure, from the Alexandria database.

Cell: 2.9280 2.9277 8.4234 Å, 90.00 90.00 90.00°
Fractional coordinates of all 4 atoms:
Ru 0.0000 0.0000 0.0292
Ru 0.5000 0.5000 0.2151
In 0.5000 0.5000 0.7880
Hg 0.0000 0.0000 0.4677

Summary:
Volume = 18.05 A^3/atom
Polymorph energy (0 for the lowest one) = 0 meV per atom
Total DFT energy (no corrections) = -20.7 eV per cell
E_form = 228 meV/atom

Q: The lowest volume belongs to which entry?
A: BeRe2Tc